1.
Material: BaTi
Method: DFT, PBE
State: relaxed

Energy relative to the lowest polymorph listed for this composition   54.7 kJ/mol of atoms

abc: 3.549 3.549 4.922
angles: 90.00 90.00 90.00
Fractional coordinates of all 2 atoms:
Ba 0.000 0.000 0.000
Ti 0.500 0.500 0.500

2.
Material: BaTi
Method: DFT, PBE
State: relaxed

Energy relative to the lowest polymorph listed for this composition   54.4 kJ/mol of atoms

abc: 3.512 3.512 16.754
angles: 90.00 90.00 120.00
Fractional coordinates of all 6 atoms:
Ba 0.000 0.000 0.000
Ba 0.333 0.667 0.667
Ba 0.667 0.333 0.333
Ti 0.000 0.000 0.500
Ti 0.333 0.667 0.167
Ti 0.667 0.333 0.833

3.
Material: BaTi
Method: DFT, PBE
State: relaxed

Energy relative to the lowest polymorph listed for this composition   28.1 kJ/mol of atoms

abc: 3.439 13.309 9.238
angles: 90.00 90.00 90.00
Fractional coordinates of all 12 atoms:
Ba 0.250 0.086 0.189
Ba 0.250 0.414 0.189
Ba 0.250 0.750 0.204
Ba 0.750 0.250 0.796
Ba 0.750 0.586 0.811
Ba 0.750 0.914 0.811
Ti 0.250 0.075 0.554
Ti 0.250 0.250 0.462
Ti 0.250 0.425 0.554
Ti 0.750 0.575 0.446
Ti 0.750 0.750 0.538
Ti 0.750 0.925 0.446

4.
Material: BaTi
Method: DFT, PBE
State: relaxed

Energy relative to the lowest polymorph listed for this composition   20.9 kJ/mol of atoms

abc: 9.491 9.491 5.945
angles: 90.00 90.00 120.00
Fractional coordinates of all 12 atoms:
Ba 0.181 0.361 0.250
Ba 0.181 0.819 0.250
Ba 0.361 0.181 0.750
Ba 0.639 0.819 0.250
Ba 0.819 0.181 0.750
Ba 0.819 0.639 0.750
Ti 0.155 0.578 0.750
Ti 0.422 0.578 0.750
Ti 0.422 0.845 0.750
Ti 0.578 0.155 0.250
Ti 0.578 0.422 0.250
Ti 0.845 0.422 0.250

5.
Material: Ba4Ti
Method: DFT, PBE
State: relaxed

abc: 6.567 6.567 6.567
angles: 90.00 90.00 90.00
Fractional coordinates of all 5 atoms:
Ba 0.000 0.000 0.000
Ba 0.000 0.500 0.500
Ba 0.500 0.000 0.500
Ba 0.500 0.500 0.000
Ti 0.500 0.500 0.500

6.
Material: BaTiTl2
Method: DFT, PBE
State: relaxed

abc: 5.736 5.736 18.484
angles: 90.00 90.00 90.00
Fractional coordinates of all 16 atoms:
Ba 0.000 0.000 0.000
Ba 0.000 0.500 0.250
Ba 0.500 0.000 0.750
Ba 0.500 0.500 0.500
Ti 0.000 0.000 0.500
Ti 0.000 0.500 0.750
Ti 0.500 0.000 0.250
Ti 0.500 0.500 0.000
Tl 0.115 0.250 0.625
Tl 0.250 0.615 0.875
Tl 0.250 0.885 0.375
Tl 0.385 0.250 0.125
Tl 0.615 0.750 0.125
Tl 0.750 0.115 0.375
Tl 0.750 0.385 0.875
Tl 0.885 0.750 0.625

7.
Material: BaTi2Tl
Method: DFT, PBE
State: relaxed

Energy relative to the lowest polymorph listed for this composition   0.0 kJ/mol of atoms

abc: 4.914 4.914 21.017
angles: 90.00 90.00 90.00
Fractional coordinates of all 16 atoms:
Ba 0.000 0.000 0.000
Ba 0.000 0.500 0.250
Ba 0.500 0.000 0.750
Ba 0.500 0.500 0.500
Ti 0.016 0.250 0.625
Ti 0.250 0.516 0.875
Ti 0.250 0.984 0.375
Ti 0.484 0.250 0.125
Ti 0.516 0.750 0.125
Ti 0.750 0.016 0.375
Ti 0.750 0.484 0.875
Ti 0.984 0.750 0.625
Tl 0.000 0.000 0.500
Tl 0.000 0.500 0.750
Tl 0.500 0.000 0.250
Tl 0.500 0.500 0.000

8.
Material: BaTi2Tl
Method: DFT, PBE
State: relaxed

Energy relative to the lowest polymorph listed for this composition   2.2 kJ/mol of atoms

abc: 7.193 7.193 7.193
angles: 90.00 90.00 90.00
Fractional coordinates of all 16 atoms:
Ba 0.000 0.000 0.000
Ba 0.000 0.500 0.500
Ba 0.500 0.000 0.500
Ba 0.500 0.500 0.000
Ti 0.250 0.250 0.250
Ti 0.250 0.250 0.750
Ti 0.250 0.750 0.250
Ti 0.250 0.750 0.750
Ti 0.750 0.250 0.250
Ti 0.750 0.250 0.750
Ti 0.750 0.750 0.250
Ti 0.750 0.750 0.750
Tl 0.000 0.000 0.500
Tl 0.000 0.500 0.000
Tl 0.500 0.000 0.000
Tl 0.500 0.500 0.500

9.
Material: Ba2TiTl
Method: DFT, PBE
State: relaxed

Energy relative to the lowest polymorph listed for this composition   0.0 kJ/mol of atoms

abc: 8.454 8.454 8.454
angles: 90.00 90.00 90.00
Fractional coordinates of all 16 atoms:
Ba 0.250 0.250 0.250
Ba 0.250 0.250 0.750
Ba 0.250 0.750 0.250
Ba 0.250 0.750 0.750
Ba 0.750 0.250 0.250
Ba 0.750 0.250 0.750
Ba 0.750 0.750 0.250
Ba 0.750 0.750 0.750
Ti 0.000 0.000 0.000
Ti 0.000 0.500 0.500
Ti 0.500 0.000 0.500
Ti 0.500 0.500 0.000
Tl 0.000 0.000 0.500
Tl 0.000 0.500 0.000
Tl 0.500 0.000 0.000
Tl 0.500 0.500 0.500

10.
Material: Ba2TiTl
Method: DFT, PBE
State: relaxed

Energy relative to the lowest polymorph listed for this composition   20.0 kJ/mol of atoms

abc: 9.423 9.423 6.771
angles: 90.00 90.00 90.00
Fractional coordinates of all 16 atoms:
Ba 0.243 0.750 0.125
Ba 0.250 0.243 0.875
Ba 0.250 0.257 0.375
Ba 0.257 0.750 0.625
Ba 0.743 0.250 0.625
Ba 0.750 0.743 0.375
Ba 0.750 0.757 0.875
Ba 0.757 0.250 0.125
Ti 0.000 0.000 0.000
Ti 0.000 0.500 0.250
Ti 0.500 0.000 0.750
Ti 0.500 0.500 0.500
Tl 0.000 0.000 0.500
Tl 0.000 0.500 0.750
Tl 0.500 0.000 0.250
Tl 0.500 0.500 0.000

11.
Material: BaTi3Tl
Method: DFT, PBE
State: relaxed

Energy relative to the lowest polymorph listed for this composition   0.0 kJ/mol of atoms

abc: 5.378 5.378 5.378
angles: 90.00 90.00 90.00
Fractional coordinates of all 5 atoms:
Ba 0.000 0.000 0.000
Ti 0.000 0.500 0.500
Ti 0.500 0.000 0.500
Ti 0.500 0.500 0.000
Tl 0.500 0.500 0.500

12.
Material: BaTi3Tl
Method: DFT, PBE
State: relaxed

Energy relative to the lowest polymorph listed for this composition   63.0 kJ/mol of atoms

abc: 5.009 5.009 5.009
angles: 90.00 90.00 90.00
Fractional coordinates of all 5 atoms:
Ba 0.000 0.000 0.000
Ti 0.000 0.000 0.500
Ti 0.000 0.500 0.000
Ti 0.500 0.000 0.000
Tl 0.500 0.500 0.500

13.
Material: BaTiV3
Method: DFT, PBE
State: relaxed

Energy relative to the lowest polymorph listed for this composition   111.8 kJ/mol of atoms

abc: 4.771 4.771 4.771
angles: 90.00 90.00 90.00
Fractional coordinates of all 5 atoms:
Ba 0.000 0.000 0.000
Ti 0.500 0.500 0.500
V 0.000 0.000 0.500
V 0.000 0.500 0.000
V 0.500 0.000 0.000

14.
Material: BaTi2V2
Method: DFT, PBE
State: relaxed

Energy relative to the lowest polymorph listed for this composition   0.0 kJ/mol of atoms

abc: 8.252 8.252 3.127
angles: 90.00 90.00 90.00
Fractional coordinates of all 10 atoms:
Ba 0.000 0.000 0.000
Ba 0.500 0.500 0.000
Ti 0.127 0.373 0.000
Ti 0.373 0.873 0.000
Ti 0.627 0.127 0.000
Ti 0.873 0.627 0.000
V 0.123 0.623 0.500
V 0.377 0.123 0.500
V 0.623 0.877 0.500
V 0.877 0.377 0.500

15.
Material: Ba3TiV
Method: DFT, PBE
State: relaxed

Energy relative to the lowest polymorph listed for this composition   0.0 kJ/mol of atoms

abc: 6.369 6.369 6.369
angles: 90.00 90.00 90.00
Fractional coordinates of all 5 atoms:
Ba 0.000 0.000 0.500
Ba 0.000 0.500 0.000
Ba 0.500 0.000 0.000
Ti 0.500 0.500 0.500
V 0.000 0.000 0.000

16.
Material: BaTi2V2
Method: DFT, PBE
State: relaxed

Energy relative to the lowest polymorph listed for this composition   9.5 kJ/mol of atoms

abc: 3.681 3.681 16.232
angles: 90.00 90.00 90.00
Fractional coordinates of all 10 atoms:
Ba 0.000 0.000 0.000
Ba 0.500 0.500 0.500
Ti 0.000 0.000 0.365
Ti 0.000 0.000 0.635
Ti 0.500 0.500 0.135
Ti 0.500 0.500 0.865
V 0.000 0.500 0.250
V 0.000 0.500 0.750
V 0.500 0.000 0.250
V 0.500 0.000 0.750

17.
Material: BaTiV3
Method: DFT, PBE
State: relaxed

Energy relative to the lowest polymorph listed for this composition   0.0 kJ/mol of atoms

abc: 4.948 4.948 4.948
angles: 90.00 90.00 90.00
Fractional coordinates of all 5 atoms:
Ba 0.000 0.000 0.000
Ti 0.500 0.500 0.500
V 0.000 0.500 0.500
V 0.500 0.000 0.500
V 0.500 0.500 0.000

18.
Material: BaTiW3
Method: DFT, PBE
State: relaxed

Energy relative to the lowest polymorph listed for this composition   0.0 kJ/mol of atoms

abc: 4.860 4.860 4.860
angles: 90.00 90.00 90.00
Fractional coordinates of all 5 atoms:
Ba 0.000 0.000 0.000
Ti 0.500 0.500 0.500
W 0.000 0.500 0.500
W 0.500 0.000 0.500
W 0.500 0.500 0.000

19.
Material: BaTiW3
Method: DFT, PBE
State: relaxed

Energy relative to the lowest polymorph listed for this composition   168.3 kJ/mol of atoms

abc: 4.958 4.958 4.958
angles: 90.00 90.00 90.00
Fractional coordinates of all 5 atoms:
Ba 0.000 0.000 0.000
Ti 0.500 0.500 0.500
W 0.000 0.000 0.500
W 0.000 0.500 0.000
W 0.500 0.000 0.000

20.
Material: BaTi2W
Method: DFT, PBE
State: relaxed

Energy relative to the lowest polymorph listed for this composition   0.0 kJ/mol of atoms

abc: 6.906 6.906 6.906
angles: 90.00 90.00 90.00
Fractional coordinates of all 16 atoms:
Ba 0.000 0.000 0.000
Ba 0.000 0.500 0.500
Ba 0.500 0.000 0.500
Ba 0.500 0.500 0.000
Ti 0.250 0.250 0.250
Ti 0.250 0.250 0.750
Ti 0.250 0.750 0.250
Ti 0.250 0.750 0.750
Ti 0.750 0.250 0.250
Ti 0.750 0.250 0.750
Ti 0.750 0.750 0.250
Ti 0.750 0.750 0.750
W 0.000 0.000 0.500
W 0.000 0.500 0.000
W 0.500 0.000 0.000
W 0.500 0.500 0.500

21.
Material: BaTi2W
Method: DFT, PBE
State: relaxed

Energy relative to the lowest polymorph listed for this composition   27.6 kJ/mol of atoms

abc: 5.476 5.476 16.604
angles: 90.00 90.00 90.00
Fractional coordinates of all 16 atoms:
Ba 0.000 0.250 0.375
Ba 0.000 0.750 0.625
Ba 0.500 0.250 0.125
Ba 0.500 0.750 0.875
Ti 0.000 0.000 0.000
Ti 0.000 0.500 0.000
Ti 0.250 0.250 0.750
Ti 0.250 0.750 0.250
Ti 0.500 0.000 0.500
Ti 0.500 0.500 0.500
Ti 0.750 0.250 0.750
Ti 0.750 0.750 0.250
W 0.000 0.250 0.875
W 0.000 0.750 0.125
W 0.500 0.250 0.625
W 0.500 0.750 0.375

22.
Material: BaZrTi2W
Method: DFT, PBE
State: relaxed

abc: 4.917 4.917 5.596
angles: 90.00 90.00 90.00
Fractional coordinates of all 5 atoms:
Ba 0.000 0.000 0.000
Zr 0.500 0.500 0.000
Ti 0.000 0.500 0.500
Ti 0.500 0.000 0.500
W 0.000 0.000 0.500

23.
Material: BaY3Ti
Method: DFT, PBE
State: relaxed

Energy relative to the lowest polymorph listed for this composition   100.2 kJ/mol of atoms

abc: 5.585 5.585 5.585
angles: 90.00 90.00 90.00
Fractional coordinates of all 5 atoms:
Ba 0.000 0.000 0.000
Y 0.000 0.000 0.500
Y 0.000 0.500 0.000
Y 0.500 0.000 0.000
Ti 0.500 0.500 0.500

24.
Material: BaYTi2
Method: DFT, PBE
State: relaxed

Energy relative to the lowest polymorph listed for this composition   22.7 kJ/mol of atoms

abc: 8.529 8.529 6.436
angles: 90.00 90.00 90.00
Fractional coordinates of all 16 atoms:
Ba 0.000 0.000 0.000
Ba 0.000 0.500 0.250
Ba 0.500 0.000 0.750
Ba 0.500 0.500 0.500
Y 0.000 0.000 0.500
Y 0.000 0.500 0.750
Y 0.500 0.000 0.250
Y 0.500 0.500 0.000
Ti 0.240 0.750 0.625
Ti 0.250 0.240 0.375
Ti 0.250 0.260 0.875
Ti 0.260 0.750 0.125
Ti 0.740 0.250 0.125
Ti 0.750 0.740 0.875
Ti 0.750 0.760 0.375
Ti 0.760 0.250 0.625

25.
Material: BaY3Ti
Method: DFT, PBE
State: relaxed

Energy relative to the lowest polymorph listed for this composition   0.0 kJ/mol of atoms

abc: 5.679 5.679 5.679
angles: 90.00 90.00 90.00
Fractional coordinates of all 5 atoms:
Ba 0.000 0.000 0.000
Y 0.000 0.500 0.500
Y 0.500 0.000 0.500
Y 0.500 0.500 0.000
Ti 0.500 0.500 0.500

26.
Material: BaY2Ti2
Method: DFT, PBE
State: relaxed

abc: 9.181 9.181 3.471
angles: 90.00 90.00 90.00
Fractional coordinates of all 10 atoms:
Ba 0.000 0.000 0.000
Ba 0.500 0.500 0.000
Y 0.178 0.322 0.500
Y 0.322 0.822 0.500
Y 0.678 0.178 0.500
Y 0.822 0.678 0.500
Ti 0.103 0.603 0.000
Ti 0.397 0.103 0.000
Ti 0.603 0.897 0.000
Ti 0.897 0.397 0.000

27.
Material: BaYTi2
Method: DFT, PBE
State: relaxed

Energy relative to the lowest polymorph listed for this composition   0.0 kJ/mol of atoms

abc: 7.680 7.680 7.680
angles: 90.00 90.00 90.00
Fractional coordinates of all 16 atoms:
Ba 0.000 0.000 0.000
Ba 0.000 0.500 0.500
Ba 0.500 0.000 0.500
Ba 0.500 0.500 0.000
Y 0.000 0.000 0.500
Y 0.000 0.500 0.000
Y 0.500 0.000 0.000
Y 0.500 0.500 0.500
Ti 0.250 0.250 0.250
Ti 0.250 0.250 0.750
Ti 0.250 0.750 0.250
Ti 0.250 0.750 0.750
Ti 0.750 0.250 0.250
Ti 0.750 0.250 0.750
Ti 0.750 0.750 0.250
Ti 0.750 0.750 0.750

no.,calculated formation energy (meV/atom)
1,1009
2,1006
3,733
4,659
5,521
6,320
7,612
8,636
9,333
10,541
11,1027
12,1680
13,2348
14,624
15,1176
16,723
17,1189
18,1889
19,3633
20,979
21,1265
22,1329
23,1436
24,1009
25,397
26,389
27,774